# Cs2LiO

An optimized crystal structure of Cs2LiO (GGA-PBE, Alexandria via LeMat-Bulk).

Structure (CIF):
```
data_Cs2LiO
_space_group_name_H-M_alt 'I -4 2 d'
_space_group_IT_number 122
_space_group_name_Hall 'I -4 2bw'
_cell_length_a 12.4512
_cell_length_b 12.4512
_cell_length_c 3.8029
_cell_angle_alpha 90.00
_cell_angle_beta 90.00
_cell_angle_gamma 90.00
loop_
_atom_site_label
_atom_site_fract_x
_atom_site_fract_y
_atom_site_fract_z
Cs1 0.0158 0.2500 0.1250
Li1 0.0000 0.0000 0.5000
O1 0.0000 0.0000 0.0000
```

Summary:
The energy relative to the elements, uncorrected comes out at -326 kJ/mol of formula units. The value obtained for the excess energy over the best structure of this formula in the dataset is 0 meV/atom.

# Hf6ZnBi2

An optimized crystal structure of Hf6ZnBi2 (GGA-PBE, Alexandria via LeMat-Bulk).

Structure (CIF):
```
data_Hf6ZnBi2
_space_group_name_H-M_alt 'P 1 21/c 1'
_space_group_IT_number 14
_cell_length_a 5.7174
_cell_length_b 7.5831
_cell_length_c 10.9881
_cell_angle_alpha 90.00
_cell_angle_beta 120.48
_cell_angle_gamma 90.00
loop_
_space_group_symop_operation_xyz
'x,y,z'
'-x,-y,-z'
'-x,y+1/2,-z+1/2'
'x,-y+1/2,z+1/2'
loop_
_atom_site_label
_atom_site_fract_x
_atom_site_fract_y
_atom_site_fract_z
Hf1 0.0874 0.0434 0.2249
Hf2 0.1541 0.7154 0.0404
Hf3 0.3918 0.1636 0.0260
Zn1 0.5000 0.0000 0.5000
Bi1 0.3566 0.0976 0.7354
```

Summary:
The calculated formation energy is -0.02 eV per atom.

# Ca3HfAl

An optimized crystal structure of Ca3HfAl (GGA-PBE, Alexandria via LeMat-Bulk).

Structure (CIF):
```
data_Ca3HfAl
_space_group_name_H-M_alt 'P m -3 m'
_space_group_IT_number 221
_space_group_name_Hall '-P 4 2 3'
_cell_length_a 5.6999
_cell_length_b 5.6999
_cell_length_c 5.6999
_cell_angle_alpha 90.00
_cell_angle_beta 90.00
_cell_angle_gamma 90.00
loop_
_atom_site_label
_atom_site_fract_x
_atom_site_fract_y
_atom_site_fract_z
Ca1 0.0000 0.0000 0.5000
Hf1 0.0000 0.0000 0.0000
Al1 0.5000 0.5000 0.5000
```

Summary:
The calculated formation energy is 1.09 eV per atom. The value obtained for the excess energy over the best structure of this formula in the dataset is 331 meV/atom.

# ZrNbN2F

An optimized crystal structure of ZrNbN2F (GGA-PBE, Alexandria via LeMat-Bulk).

Structure (CIF):
```
data_ZrNbN2F
_space_group_name_H-M_alt 'P 4/m m m'
_space_group_IT_number 123
_space_group_name_Hall '-P 4 2'
_cell_length_a 4.1219
_cell_length_b 4.1219
_cell_length_c 3.9389
_cell_angle_alpha 90.00
_cell_angle_beta 90.00
_cell_angle_gamma 90.00
loop_
_atom_site_label
_atom_site_fract_x
_atom_site_fract_y
_atom_site_fract_z
Zr1 0.0000 0.0000 0.0000
Nb1 0.5000 0.5000 0.5000
N1 0.0000 0.5000 0.5000
F1 0.5000 0.5000 0.0000
```

Summary:
The energy relative to the elements, uncorrected comes out at -338 kJ/mol of formula units. The value obtained for the excess energy over the best structure of this formula in the dataset is 0 meV/atom.